# 1
An optimized crystal structure of AlSiPd2F. Source: the Alexandria database, functional PBE.

a b c (Å): 4.701 4.701 3.622
angles (deg): 90.00 90.00 90.00
Sites, in units of the cell vectors:
Al: 0.000 0.000 0.000
Si: 0.500 0.500 0.000
Pd: 0.000 0.500 0.500
Pd: 0.500 0.000 0.500
F: 0.500 0.500 0.500

Summary:
SG ... P4/mmm, No. 123
Crystal system ... tetragonal
Raw formation energy ... 0.15 eV per formula unit

# 2
An optimized crystal structure of La2Bi3Rh4Pb. Source: the Alexandria database, functional PBE.

a b c (Å): 4.667 4.667 10.971
angles (deg): 90.00 90.00 90.00
Sites, in units of the cell vectors:
La: 0.000 0.500 0.244
La: 0.500 0.000 0.756
Bi: 0.000 0.500 0.872
Bi: 0.500 0.000 0.128
Bi: 0.500 0.500 0.500
Rh: 0.000 0.000 0.000
Rh: 0.000 0.500 0.632
Rh: 0.500 0.000 0.368
Rh: 0.500 0.500 0.000
Pb: 0.000 0.000 0.500

Summary:
SG ... P-4m2, No. 115
Crystal system ... tetragonal

# 3
An optimized crystal structure of Nd3Sm2HoAs6. Source: the Alexandria database, functional PBE.

a b c (Å): 9.446 9.446 8.448
angles (deg): 102.91 102.91 25.86
Sites, in units of the cell vectors:
Nd: 0.000 0.000 0.000
Nd: 0.333 0.333 0.666
Nd: 0.667 0.667 0.334
Sm: 0.334 0.334 0.167
Sm: 0.666 0.666 0.833
Ho: 0.000 0.000 0.500
As: 0.164 0.164 0.584
As: 0.167 0.167 0.081
As: 0.500 0.500 0.257
As: 0.500 0.500 0.743
As: 0.833 0.833 0.919
As: 0.836 0.836 0.416

Summary:
SG ... C2/m, No. 12
Crystal system ... monoclinic

# 4
An optimized crystal structure of TaTeBr2. Source: the Alexandria database, functional PBE.

a b c (Å): 5.360 5.360 5.360
angles (deg): 129.37 129.37 74.42
Sites, in units of the cell vectors:
Ta: 0.000 0.000 0.000
Te: 0.500 0.500 0.000
Br: 0.250 0.750 0.500
Br: 0.750 0.250 0.500

Summary:
SG ... I4/mmm, No. 139
Energy relative to the lowest polymorph listed for this composition ... 1.162 eV/atom
Crystal system ... tetragonal
Raw formation energy ... 2.89 eV per formula unit

# 5
An optimized crystal structure of Hg2Te2F. Source: the Alexandria database, functional PBE.

a b c (Å): 7.080 7.080 5.597
angles (deg): 90.00 90.00 90.00
Sites, in units of the cell vectors:
Hg: 0.145 0.355 0.000
Hg: 0.355 0.855 0.000
Hg: 0.645 0.145 0.000
Hg: 0.855 0.645 0.000
Te: 0.249 0.251 0.500
Te: 0.251 0.751 0.500
Te: 0.749 0.249 0.500
Te: 0.751 0.749 0.500
F: 0.000 0.000 0.500
F: 0.500 0.500 0.500

Summary:
SG ... P4/mbm, No. 127
Energy relative to the lowest polymorph listed for this composition ... 0.000 eV/atom
Crystal system ... tetragonal
Raw formation energy ... -1.09 eV per formula unit

# 6
An optimized crystal structure of SmY2I. Source: the Alexandria database, functional PBE.

a b c (Å): 10.744 10.744 10.744
angles (deg): 20.15 20.15 20.15
Sites, in units of the cell vectors:
Sm: 0.000 0.000 0.000
Y: 0.245 0.245 0.245
Y: 0.755 0.755 0.755
I: 0.500 0.500 0.500

Summary:
SG ... R-3m, No. 166
Energy relative to the lowest polymorph listed for this composition ... 0.000 eV/atom
Crystal system ... trigonal
Raw formation energy ... -1.46 eV per formula unit

# 7
An optimized crystal structure of Er2Tm6Mg. Source: the Alexandria database, functional PBE.

a b c (Å): 3.493 3.493 32.768
angles (deg): 90.00 90.00 120.00
Sites, in units of the cell vectors:
Er: 0.000 0.000 0.244
Er: 0.000 0.000 0.756
Tm: 0.000 0.000 0.416
Tm: 0.000 0.000 0.584
Tm: 0.667 0.333 0.160
Tm: 0.667 0.333 0.331
Tm: 0.667 0.333 0.669
Tm: 0.667 0.333 0.840
Mg: 0.667 0.333 0.500

Summary:
SG ... P-6m2, No. 187
Energy relative to the lowest polymorph listed for this composition ... 0.151 eV/atom
Crystal system ... hexagonal

# 8
An optimized crystal structure of NaNd4Se5. Source: the Alexandria database, functional PBE.

a b c (Å): 7.332 7.332 7.332
angles (deg): 99.51 99.51 132.03
Sites, in units of the cell vectors:
Na: 0.000 0.000 0.000
Nd: 0.201 0.398 0.599
Nd: 0.398 0.799 0.197
Nd: 0.602 0.201 0.803
Nd: 0.799 0.602 0.401
Se: 0.097 0.702 0.799
Se: 0.298 0.097 0.395
Se: 0.500 0.500 0.000
Se: 0.702 0.903 0.605
Se: 0.903 0.298 0.201

Summary:
SG ... I4/m, No. 87
Crystal system ... tetragonal
Raw formation energy ... -17.83 eV per formula unit

| no. | final energy (eV per atom) |
| --- | --- |
| 1 | -4.2550 |
| 2 | -5.9592 |
| 3 | -6.2001 |
| 4 | -3.8621 |
| 5 | -1.9691 |
| 6 | -5.1632 |
| 7 | -3.9909 |
| 8 | -5.5647 |